## w
VASP calculation (meta-GGA SCAN) on a PBEsol-optimized structure of TeAsI2Br.

* Fermi-level density of states: 1.018 states/eV per atom
* magnetic moment: 1.72 Bohr magnetons per cell

CIF file:
```
data_TeAsI2Br
_cell_length_a 5.4812
_cell_length_b 5.4812
_cell_length_c 5.5173
_cell_angle_alpha 90.00
_cell_angle_beta 90.00
_cell_angle_gamma 90.00
_space_group_name_H-M_alt 'P 4/m m m'
_space_group_IT_number 123
_space_group_name_Hall '-P 4 2'
loop_
_atom_site_label
_atom_site_fract_x
_atom_site_fract_y
_atom_site_fract_z
Te1 0.0000 0.0000 0.0000
As1 0.0000 0.0000 0.5000
I1 0.0000 0.5000 0.5000
Br1 0.5000 0.5000 0.0000
```

## x
VASP calculation (meta-GGA SCAN) on a PBEsol-optimized structure of TeAsI2Br.

* Fermi-level density of states: 0.721 states/eV per atom
* magnetic moment: 1.64 Bohr magnetons per cell

CIF file:
```
data_TeAsI2Br
_cell_length_a 5.7202
_cell_length_b 5.7202
_cell_length_c 5.6072
_cell_angle_alpha 90.00
_cell_angle_beta 90.00
_cell_angle_gamma 90.00
_space_group_name_H-M_alt 'P 4/m m m'
_space_group_IT_number 123
_space_group_name_Hall '-P 4 2'
loop_
_atom_site_label
_atom_site_fract_x
_atom_site_fract_y
_atom_site_fract_z
Te1 0.0000 0.0000 0.0000
As1 0.5000 0.5000 0.0000
I1 0.0000 0.5000 0.5000
Br1 0.0000 0.0000 0.5000
```

Which of them is the least stable? Correct choice: x.